Entry 1:
{
  "formula": "NbTeMoPdI",
  "functional": "GGA-PBE",
  "state": "relaxed",
  "space_group": "Cm",
  "magmom_total_mub_per_fu": 0.0,
  "energy_ev_per_atom": -6.06,
  "polymorph_energy_ev_per_fu": 0.99,
  "raw_formation_energy_ev_per_atom": 0.101,
  "lattice": [[-8.345, 0.093, -1.159], [-0.421, -2.494, 2.832], [3.659, 6.045, 5.867]],
  "species": ["Pd", "I", "Nb", "I", "Mo", "Nb", "Mo", "Te", "Te", "Pd"],
  "fractional_positions": [[0.148, 0.500, 0.761], [0.539, 0.000, 0.412], [0.876, 0.500, 0.202], [0.539, 0.500, 0.912], [0.811, 0.500, 0.473], [0.876, 0.000, 0.702], [0.811, 0.000, 0.973], [0.076, 0.000, 0.511], [0.076, 0.500, 0.011], [0.148, 0.000, 0.261]]
}

***

Entry 2:
{
  "formula": "NbTeMoPdI",
  "functional": "GGA-PBE",
  "state": "relaxed",
  "space_group": "Imm2",
  "magmom_total_mub_per_fu": 0.0,
  "energy_ev_per_atom": -6.16,
  "polymorph_energy_ev_per_fu": 0.48,
  "raw_formation_energy_ev_per_atom": -0.001,
  "lattice": [[3.607, 0.000, 0.000], [0.000, 4.333, 0.000], [0.000, 0.000, 15.536]],
  "species": ["Nb", "Mo", "Mo", "I", "I", "Nb", "Pd", "Te", "Pd", "Te"],
  "fractional_positions": [[0.000, 0.500, 0.707], [0.500, 0.000, 0.726], [0.000, 0.500, 0.226], [0.500, 0.500, 0.079], [0.000, 0.000, 0.579], [0.500, 0.000, 0.207], [0.000, 0.000, 0.342], [0.000, 0.000, 0.864], [0.500, 0.500, 0.842], [0.500, 0.500, 0.364]]
}

***

Entry 3:
{
  "formula": "NbTeMoPdI",
  "functional": "GGA-PBE",
  "state": "relaxed",
  "space_group": "Pm",
  "magmom_total_mub_per_fu": 0.0,
  "energy_ev_per_atom": -6.17,
  "polymorph_energy_ev_per_fu": 0.43,
  "raw_formation_energy_ev_per_atom": -0.010,
  "lattice": [[-1.893, -2.341, 3.323], [0.384, -2.973, -1.875], [7.145, -0.531, 2.305]],
  "species": ["Te", "Mo", "Pd", "Nb", "I"],
  "fractional_positions": [[0.159, 0.500, 0.869], [0.204, 0.000, 0.149], [0.656, 0.000, 0.890], [0.756, 0.500, 0.181], [0.606, 0.000, 0.461]]
}

***

Entry 4:
{
  "formula": "NbTeMoPdI",
  "functional": "GGA-PBE",
  "state": "relaxed",
  "space_group": "P1",
  "magmom_total_mub_per_fu": 0.0,
  "energy_ev_per_atom": -6.17,
  "polymorph_energy_ev_per_fu": 0.42,
  "raw_formation_energy_ev_per_atom": -0.012,
  "lattice": [[-1.472, 1.572, 2.801], [1.638, -2.059, 4.239], [6.163, 5.084, 2.508]],
  "species": ["Mo", "Pd", "Te", "Nb", "I"],
  "fractional_positions": [[0.156, 0.016, 0.594], [0.917, 0.620, 0.462], [0.412, 0.391, 0.713], [0.665, 0.213, 0.369], [0.973, 0.821, 0.134]]
}

***

Entry 5:
{
  "formula": "NbTeMoPdI",
  "functional": "GGA-PBE",
  "state": "relaxed",
  "space_group": "Cm",
  "magmom_total_mub_per_fu": 0.0,
  "energy_ev_per_atom": -6.08,
  "polymorph_energy_ev_per_fu": 0.89,
  "raw_formation_energy_ev_per_atom": 0.082,
  "lattice": [[4.440, 0.000, -0.003], [0.000, 3.532, 0.000], [-3.119, 0.000, 15.066]],
  "species": ["I", "Pd", "Nb", "Pd", "Mo", "Te", "Te", "I", "Nb", "Mo"],
  "fractional_positions": [[0.231, 0.000, 0.767], [0.032, 0.000, 0.566], [0.566, 0.000, 0.410], [0.032, 0.500, 0.066], [0.016, 0.500, 0.421], [0.538, 0.500, 0.561], [0.538, 0.000, 0.061], [0.231, 0.500, 0.267], [0.566, 0.500, 0.910], [0.016, 0.000, 0.921]]
}

***

Entry 6:
{
  "formula": "NbTeMoPdI",
  "functional": "GGA-PBE",
  "state": "relaxed",
  "space_group": "Cm",
  "magmom_total_mub_per_fu": 0.0,
  "energy_ev_per_atom": -6.11,
  "polymorph_energy_ev_per_fu": 0.71,
  "raw_formation_energy_ev_per_atom": 0.046,
  "lattice": [[3.890, 0.000, 0.024], [0.000, 4.248, 0.000], [-2.541, 0.000, 14.571]],
  "species": ["Pd", "Te", "Pd", "I", "Nb", "Te", "Mo", "I", "Mo", "Nb"],
  "fractional_positions": [[0.888, 0.000, 0.422], [0.594, 0.500, 0.074], [0.888, 0.500, 0.922], [0.247, 0.500, 0.771], [0.432, 0.000, 0.916], [0.594, 0.000, 0.574], [0.105, 0.000, 0.041], [0.247, 0.000, 0.271], [0.105, 0.500, 0.541], [0.432, 0.500, 0.416]]
}

***

Entry 7:
{
  "formula": "NbTeMoPdI",
  "functional": "GGA-PBE",
  "state": "relaxed",
  "space_group": "Pm",
  "magmom_total_mub_per_fu": 0.0,
  "energy_ev_per_atom": -6.16,
  "polymorph_energy_ev_per_fu": 0.48,
  "raw_formation_energy_ev_per_atom": -0.001,
  "lattice": [[-2.974, -0.014, 1.604], [1.574, -0.688, 2.911], [1.013, 10.398, 1.909]],
  "species": ["I", "Te", "Mo", "Nb", "Pd"],
  "fractional_positions": [[0.156, 0.000, 0.092], [0.660, 0.500, 0.761], [0.159, 0.000, 0.610], [0.658, 0.500, 0.470], [0.156, 0.000, 0.340]]
}

***

Entry 8:
{
  "formula": "NbTeMoPdI",
  "functional": "GGA-PBE",
  "state": "relaxed",
  "space_group": "P1",
  "magmom_total_mub_per_fu": 0.0,
  "energy_ev_per_atom": -6.25,
  "polymorph_energy_ev_per_fu": 0.00,
  "raw_formation_energy_ev_per_atom": -0.097,
  "lattice": [[3.536, 0.000, 0.001], [-0.071, 3.538, -0.008], [-1.659, -1.760, 9.415]],
  "species": ["I", "Pd", "Nb", "Te", "Mo"],
  "fractional_positions": [[0.637, 0.144, 0.856], [0.041, 0.576, 0.688], [0.483, 0.999, 0.551], [0.311, 0.867, 0.239], [0.858, 0.474, 0.393]]
}

***

V for the records above, in order: 25.9, 24.3, 23.6, 26.6, 23.6, 24.1, 24.3, 23.5 A^3/atom